Zr4Tc: optimized geometry, GGA-PBE.

```
data_Zr4Tc
_cell_length_a 7.9356
_cell_length_b 7.9356
_cell_length_c 3.3476
_cell_angle_alpha 90.00
_cell_angle_beta 90.00
_cell_angle_gamma 90.00
_space_group_name_H-M_alt 'I 4/m'
_space_group_IT_number 87
_space_group_name_Hall '-I 4'
loop_
_atom_site_label
_atom_site_type_symbol
_atom_site_fract_x
_atom_site_fract_y
_atom_site_fract_z
_atom_site_occupancy
Zr1 Zr 0.0851 0.2751 0.0000 1
Tc1 Tc 0.0000 0.0000 0.5000 1
```

Calculated values
The magnetic moment is 0.000 μB/f.u. The value obtained for the calculated volume is 210.81 Å³/cell. As for the total energy: -90.99 eV/cell. The energy relative to the elements comes out at -187 meV/atom. As for the energy above the most stable polymorph in this dataset: 0 meV/atom.

=====

Zr3Tc: optimized geometry, GGA-PBE.

```
data_Zr3Tc
_cell_length_a 9.4813
_cell_length_b 6.8840
_cell_length_c 4.9556
_cell_angle_alpha 90.00
_cell_angle_beta 90.00
_cell_angle_gamma 90.00
_space_group_name_H-M_alt 'C m c m'
_space_group_IT_number 63
_space_group_name_Hall '-C 2c 2'
loop_
_atom_site_label
_atom_site_type_symbol
_atom_site_fract_x
_atom_site_fract_y
_atom_site_fract_z
_atom_site_occupancy
Zr1 Zr 0.0000 0.1589 0.2500 1
Zr2 Zr 0.2331 0.1288 0.7500 1
Tc1 Tc 0.0000 0.3877 0.7500 1
```

Calculated values
The magnetic moment is 0.000 μB/f.u. The value obtained for the calculated volume is 323.45 Å³/cell. As for the total energy: -144.23 eV/cell. The energy relative to the elements comes out at -12 meV/atom.

=====

ZrTc7: optimized geometry, GGA-PBE.

```
data_ZrTc7
_cell_length_a 7.8930
_cell_length_b 7.8930
_cell_length_c 7.8930
_cell_angle_alpha 90.00
_cell_angle_beta 90.00
_cell_angle_gamma 90.00
_space_group_name_H-M_alt 'F m -3 m'
_space_group_IT_number 225
_space_group_name_Hall '-F 4 2 3'
loop_
_atom_site_label
_atom_site_type_symbol
_atom_site_fract_x
_atom_site_fract_y
_atom_site_fract_z
_atom_site_occupancy
Zr1 Zr 0.0000 0.0000 0.0000 1
Tc1 Tc 0.0000 0.0000 0.5000 1
Tc2 Tc 0.0000 0.2500 0.2500 1
```

Calculated values
The magnetic moment is 0.000 μB/f.u. The value obtained for the calculated volume is 491.72 Å³/cell. As for the total energy: -320.42 eV/cell. The energy relative to the elements comes out at 126 meV/atom.

=====

Zr3Tc: optimized geometry, GGA-PBE.

```
data_Zr3Tc
_cell_length_a 3.3507
_cell_length_b 5.1728
_cell_length_c 9.5446
_cell_angle_alpha 90.00
_cell_angle_beta 90.00
_cell_angle_gamma 90.00
_space_group_name_H-M_alt 'C m m m'
_space_group_IT_number 65
_space_group_name_Hall '-C 2 2'
loop_
_atom_site_label
_atom_site_type_symbol
_atom_site_fract_x
_atom_site_fract_y
_atom_site_fract_z
_atom_site_occupancy
Zr1 Zr 0.0000 0.0000 0.0000 1
Zr2 Zr 0.0000 0.5000 0.2826 1
Tc1 Tc 0.0000 0.0000 0.5000 1
```

Calculated values
The magnetic moment is 0.000 μB/f.u. The value obtained for the calculated volume is 165.43 Å³/cell. As for the total energy: -72.43 eV/cell. The energy relative to the elements comes out at -51 meV/atom.

=====

Zr3Tc: optimized geometry, GGA-PBE.

```
data_Zr3Tc
_cell_length_a 9.4193
_cell_length_b 9.4193
_cell_length_c 3.1169
_cell_angle_alpha 90.00
_cell_angle_beta 90.00
_cell_angle_gamma 120.00
_space_group_name_H-M_alt 'R -3 m'
_space_group_IT_number 166
_space_group_name_Hall '-R 3 2"'
loop_
_atom_site_label
_atom_site_type_symbol
_atom_site_fract_x
_atom_site_fract_y
_atom_site_fract_z
_atom_site_occupancy
Zr1 Zr 0.0000 0.5000 0.0000 1
Tc1 Tc 0.0000 0.0000 0.0000 1
```

Calculated values
The magnetic moment is 0.000 μB/f.u. The value obtained for the calculated volume is 239.49 Å³/cell. As for the total energy: -107.81 eV/cell. The energy relative to the elements comes out at 19 meV/atom.

=====

Zr5Tc: optimized geometry, GGA-PBE.

```
data_Zr5Tc
_cell_length_a 8.0337
_cell_length_b 8.0337
_cell_length_c 8.0337
_cell_angle_alpha 90.00
_cell_angle_beta 90.00
_cell_angle_gamma 90.00
_space_group_name_H-M_alt 'F -4 3 m'
_space_group_IT_number 216
_space_group_name_Hall 'F -4 2 3'
loop_
_atom_site_label
_atom_site_type_symbol
_atom_site_fract_x
_atom_site_fract_y
_atom_site_fract_z
_atom_site_occupancy
Zr1 Zr 0.0000 0.0000 0.0000 1
Zr2 Zr 0.1247 0.1247 0.6247 1
Tc1 Tc 0.2500 0.2500 0.2500 1
```

Calculated values
The magnetic moment is 0.000 μB/f.u. The value obtained for the calculated volume is 518.50 Å³/cell. As for the total energy: -201.59 eV/cell. The energy relative to the elements comes out at 452 meV/atom. As for the energy above the most stable polymorph in this dataset: 580 meV/atom.

=====

ZrTc6: optimized geometry, GGA-PBE.

```
data_ZrTc6
_cell_length_a 6.7151
_cell_length_b 6.7151
_cell_length_c 6.7151
_cell_angle_alpha 90.00
_cell_angle_beta 90.00
_cell_angle_gamma 90.00
_space_group_name_H-M_alt 'I m -3 m'
_space_group_IT_number 229
_space_group_name_Hall '-I 4 2 3'
loop_
_atom_site_label
_atom_site_type_symbol
_atom_site_fract_x
_atom_site_fract_y
_atom_site_fract_z
_atom_site_occupancy
Zr1 Zr 0.0000 0.0000 0.0000 1
Tc1 Tc 0.0000 0.2500 0.5000 1
```

Calculated values
The magnetic moment is 0.002 μB/f.u. The value obtained for the calculated volume is 302.79 Å³/cell. As for the total energy: -124.61 eV/cell. The energy relative to the elements comes out at 1206 meV/atom. As for the energy above the most stable polymorph in this dataset: 1224 meV/atom.

=====

Zr5Tc24: optimized geometry, GGA-PBE.

```
data_Zr5Tc24
_cell_length_a 9.7324
_cell_length_b 9.7324
_cell_length_c 9.7324
_cell_angle_alpha 90.00
_cell_angle_beta 90.00
_cell_angle_gamma 90.00
_space_group_name_H-M_alt 'I -4 3 m'
_space_group_IT_number 217
_space_group_name_Hall 'I -4 2 3'
loop_
_atom_site_label
_atom_site_type_symbol
_atom_site_fract_x
_atom_site_fract_y
_atom_site_fract_z
_atom_site_occupancy
Zr1 Zr 0.0000 0.0000 0.0000 1
Zr2 Zr 0.1883 0.1883 0.8117 1
Tc1 Tc 0.0338 0.3600 0.3600 1
Tc2 Tc 0.0902 0.0902 0.2846 1
```

Calculated values
The magnetic moment is 0.000 μB/f.u. The value obtained for the calculated volume is 921.84 Å³/cell. As for the total energy: -593.56 eV/cell. The energy relative to the elements comes out at -181 meV/atom.

=====

Q: Look up the energy relative to the elements of the first one.
A: -187 meV/atom

=====

Q: The lowest calculated volume belongs to which entry?
A: number 4

=====

Q: What is the magnetic moment in the eighth record?
A: 0.000 μB/f.u.

=====

Q: Among the records above, which one has the lowest calculated volume?
A: number 4